Entry 1:
{
  "formula": "BH3Pd",
  "functional": "PBE",
  "state": "relaxed",
  "total_magnetization_mub_per_fu": 0.0,
  "e_tot_ev_per_fu": -17.72,
  "space_group": "Pm-3m",
  "n_ef_per_ev_atom": 0.158,
  "lattice": [[3.197, 0.000, 0.000], [0.000, 3.197, 0.000], [0.000, 0.000, 3.197]],
  "species": ["B", "H", "H", "H", "Pd"],
  "frac_coords": [[0.000, 0.000, 0.000], [0.000, 0.000, 0.500], [0.000, 0.500, 0.000], [0.500, 0.000, 0.000], [0.500, 0.500, 0.500]]
}



Entry 2:
{
  "formula": "Ag2TeRu",
  "functional": "PBE",
  "state": "relaxed",
  "total_magnetization_mub_per_fu": 1.3,
  "space_group": "R-3m",
  "e_form_raw_ev_per_atom": 0.565,
  "n_ef_per_ev_atom": 0.560,
  "lattice": [[1.498, 0.865, 10.231], [-1.498, 0.865, 10.231], [0.000, -1.730, 10.231]],
  "species": ["Ag", "Ag", "Te", "Ru"],
  "frac_coords": [[0.241, 0.241, 0.241], [0.759, 0.759, 0.759], [0.000, 0.000, 0.000], [0.500, 0.500, 0.500]]
}



Entry 3:
{
  "formula": "Pr5HoAs6",
  "functional": "PBE",
  "state": "relaxed",
  "total_magnetization_mub_per_fu": 0.0,
  "formation_enthalpy_0k_mev_per_atom": -1497,
  "space_group": "C2/m",
  "n_ef_per_ev_atom": 0.087,
  "lattice": [[3.703, -6.412, 0.000], [3.703, 6.412, 0.000], [-2.472, 0.000, 6.981]],
  "species": ["Pr", "Pr", "Pr", "Pr", "Pr", "Ho", "As", "As", "As", "As", "As", "As"],
  "frac_coords": [[0.000, 0.000, 0.000], [0.166, 0.834, 0.500], [0.332, 0.668, 0.000], [0.668, 0.332, 0.000], [0.834, 0.166, 0.500], [0.500, 0.500, 0.500], [0.091, 0.418, 0.255], [0.256, 0.256, 0.746], [0.418, 0.091, 0.255], [0.582, 0.909, 0.745], [0.744, 0.744, 0.254], [0.909, 0.582, 0.745]]
}